{
  "formula": "ErTeCl",
  "functional": "PBE-GGA",
  "state": "optimized geometry",
  "lattice_angstrom": [[3.6473, 0.0000, 0.0000], [0.0000, 3.6473, 0.0000], [0.0000, 0.0000, 14.0304]],
  "species": ["Er", "Er", "Te", "Te", "Cl", "Cl"],
  "frac_coords": [[0.0000, 0.0000, 0.0000], [0.5000, 0.5000, 0.5000], [0.0000, 0.0000, 0.3795], [0.5000, 0.5000, 0.8795], [0.0000, 0.0000, 0.6201], [0.5000, 0.5000, 0.1201]],
  "dos_ef_per_ev_fu": 1.4,
  "magmom_total_mub_per_cell": 0.00,
  "sg": "I4mm (107)",
  "e_tot_ev_per_cell": -27.3,
  "formation_energy_uncorrected_ev_per_atom": -1.370
}

***

{
  "formula": "SmGa9Tc2",
  "functional": "PBE-GGA",
  "state": "optimized geometry",
  "lattice_angstrom": [[8.5785, 0.0000, 0.0000], [-4.2892, 7.4292, 0.0000], [0.0000, 0.0000, 3.3394]],
  "species": ["Sm", "Ga", "Ga", "Ga", "Ga", "Ga", "Ga", "Ga", "Ga", "Ga", "Tc", "Tc"],
  "frac_coords": [[0.0000, 0.0000, 0.0000], [0.0000, 0.5000, 0.0000], [0.1906, 0.3811, 0.5000], [0.1906, 0.8094, 0.5000], [0.3811, 0.1906, 0.5000], [0.5000, 0.0000, 0.0000], [0.5000, 0.5000, 0.0000], [0.6189, 0.8094, 0.5000], [0.8094, 0.1906, 0.5000], [0.8094, 0.6189, 0.5000], [0.3333, 0.6667, 0.0000], [0.6667, 0.3333, 0.0000]],
  "dos_ef_per_ev_fu": 4.2,
  "magmom_total_mub_per_cell": 0.00,
  "sg": "P6/mmm (191)",
  "e_tot_ev_per_cell": -56.2
}

***

{
  "formula": "SiHg3O2F6",
  "functional": "PBE-GGA",
  "state": "optimized geometry",
  "lattice_angstrom": [[6.3046, -3.3971, 0.0000], [6.3046, 3.3971, 0.0000], [-1.6118, 0.0000, 4.5335]],
  "species": ["Si", "Hg", "Hg", "Hg", "O", "O", "F", "F", "F", "F", "F", "F"],
  "frac_coords": [[0.0000, 0.0000, 0.0000], [0.0000, 0.5000, 0.5000], [0.5000, 0.0000, 0.5000], [0.5000, 0.5000, 0.5000], [0.3283, 0.3283, 0.4097], [0.6717, 0.6717, 0.5903], [0.0817, 0.0817, 0.3672], [0.0966, 0.7339, 0.0646], [0.2661, 0.9034, 0.9354], [0.7339, 0.0966, 0.0646], [0.9034, 0.2661, 0.9354], [0.9183, 0.9183, 0.6328]],
  "dos_ef_per_ev_fu": 0.0,
  "magmom_total_mub_per_cell": 0.00,
  "sg": "C2/m (12)",
  "e_tot_ev_per_cell": -49.4,
  "formation_energy_uncorrected_ev_per_atom": -1.830
}

***

Question: What is the formula in the first record?
Answer: ErTeCl